Entry 1:
Compound: PrSc2Ir9
Source: the Alexandria database
Functional: PBE
Structure: optimized geometry

Cell: 5.2878 5.2878 25.8954 Å, 90.00 90.00 120.00°
Space group R-3m (No. 166, hexagonal axes)
Asymmetric unit:
Pr 0.0000 0.0000 0.0000 x3
Sc 0.0000 0.0000 0.1401 x6
Ir 0.0000 0.0000 0.3341 x6
Ir 0.0000 0.0000 0.5000 x3
Ir 0.0033 0.5017 0.9154 x18

Properties
The value obtained for the formation energy is -0.520 eV per atom. For the size of the total moment, the calculation gives 0.00 μB per atom. As for the uncorrected energy: -310.28 eV for the cell shown.


Entry 2:
Compound: Pr2ScIr
Source: the Alexandria database
Functional: PBE
Structure: optimized geometry

Cell: 3.7680 3.7680 31.4510 Å, 90.00 90.00 120.00°
Space group R-3m (No. 166, hexagonal axes)
Asymmetric unit:
Pr 0.0000 0.0000 0.1086 x6
Sc 0.0000 0.0000 0.0000 x3
Ir 0.0000 0.0000 0.5000 x3

Properties
The value obtained for the formation energy is 0.096 eV per atom. For the size of the total moment, the calculation gives 0.14 μB per atom. As for the uncorrected energy: -73.10 eV for the cell shown.


Entry 3:
Compound: PrSc2Ir2
Source: the Alexandria database
Functional: PBE
Structure: optimized geometry

Cell: 4.306 4.306 11.872 Å, 90.00 90.00 90.00°
Space group I4/mmm (No. 139)
Asymmetric unit:
Pr 0.000 0.000 0.000 x2
Sc 0.000 0.500 0.250 x4
Ir 0.000 0.000 0.389 x4

Properties
The value obtained for the formation energy is -0.783 eV per atom. For the size of the total moment, the calculation gives 0.00 μB per atom. As for the uncorrected energy: -78.16 eV for the cell shown.


Entry 4:
Compound: PrSc3Ir
Source: the Alexandria database
Functional: PBE
Structure: optimized geometry

Cell: 5.126 5.126 5.126 Å, 90.00 90.00 90.00°
Space group Pm-3m (No. 221)
Asymmetric unit:
Pr 0.000 0.000 0.000 x1
Sc 0.000 0.500 0.500 x3
Ir 0.500 0.500 0.500 x1

Properties
The value obtained for the formation energy is -0.344 eV per atom. For the size of the total moment, the calculation gives 0.00 μB per atom. As for the uncorrected energy: -34.36 eV for the cell shown.


Entry 5:
Compound: Pr2ScSi3Ir4
Source: the Alexandria database
Functional: PBE
Structure: optimized geometry

Cell: 4.147 4.147 10.694 Å, 90.00 90.00 90.00°
Space group P-4m2 (No. 115)
Asymmetric unit:
Pr 0.000 0.500 0.240 x2
Sc 0.000 0.000 0.500 x1
Si 0.000 0.500 0.879 x2
Si 0.500 0.500 0.500 x1
Ir 0.000 0.000 0.000 x1
Ir 0.000 0.500 0.650 x2
Ir 0.500 0.500 0.000 x1

Properties
For the size of the total moment, the calculation gives 0.00 μB per atom. As for the uncorrected energy: -77.55 eV for the cell shown.


Entry 6:
Compound: Pr2ScSn3Ir4
Source: the Alexandria database
Functional: PBE
Structure: optimized geometry

Cell: 4.363 4.363 11.498 Å, 90.00 90.00 90.00°
Space group P-4m2 (No. 115)
Asymmetric unit:
Pr 0.000 0.500 0.240 x2
Sc 0.000 0.000 0.500 x1
Sn 0.000 0.500 0.871 x2
Sn 0.500 0.500 0.500 x1
Ir 0.000 0.000 0.000 x1
Ir 0.000 0.500 0.642 x2
Ir 0.500 0.500 0.000 x1

Properties
The value obtained for the formation energy is -0.649 eV per atom. For the size of the total moment, the calculation gives 0.00 μB per atom. As for the uncorrected energy: -69.84 eV for the cell shown.


Entry 7:
Compound: PrScTaIr2
Source: the Alexandria database
Functional: PBE
Structure: optimized geometry

Cell: 4.442 4.442 10.885 Å, 90.00 90.00 90.00°
Space group I-4m2 (No. 119)
Asymmetric unit:
Pr 0.000 0.000 0.000 x2
Sc 0.000 0.500 0.750 x2
Ta 0.000 0.500 0.250 x2
Ir 0.000 0.000 0.380 x4

Properties
The value obtained for the formation energy is -0.691 eV per atom. For the size of the total moment, the calculation gives 0.00 μB per atom. As for the uncorrected energy: -88.29 eV for the cell shown.


Entry 8:
Compound: PrZrScIr2
Source: the Alexandria database
Functional: PBE
Structure: optimized geometry

Cell: 4.416 4.416 11.528 Å, 90.00 90.00 90.00°
Space group I-4m2 (No. 119)
Asymmetric unit:
Pr 0.000 0.000 0.000 x2
Zr 0.000 0.500 0.250 x2
Sc 0.000 0.500 0.750 x2
Ir 0.000 0.000 0.386 x4

Properties
The value obtained for the formation energy is -0.752 eV per atom. For the size of the total moment, the calculation gives 0.00 μB per atom. As for the uncorrected energy: -82.29 eV for the cell shown.